# K3Pa3BeS8 PBE relaxed
data_K3Pa3BeS8
_symmetry_space_group_name_H-M 'C 1 2/m 1'
_symmetry_Int_Tables_number 12
_cell_length_a 13.5417
_cell_length_b 7.8209
_cell_length_c 8.8561
_cell_angle_alpha 90.00
_cell_angle_beta 120.63
_cell_angle_gamma 90.00
loop_
_symmetry_equiv_pos_as_xyz
'x,y,z'
'-x,-y,-z'
'-x,y,-z'
'x,-y,z'
'x+1/2,y+1/2,z'
'-x+1/2,-y+1/2,-z'
'-x+1/2,y+1/2,-z'
'x+1/2,-y+1/2,z'
loop_
_atom_site_label
_atom_site_fract_x
_atom_site_fract_y
_atom_site_fract_z
K1 0.0000 0.0000 0.0000
K2 0.2500 0.2500 0.0000
Pa1 0.0000 0.5000 0.5000
Pa2 0.2500 0.2500 0.5000
Be1 0.0000 0.0000 0.5000
S1 0.0156 0.2302 0.3165
S2 0.2125 0.0000 0.6814
S3 0.2379 0.5000 0.7132
# ρ, g cm⁻³: 4.4
# E_form (uncorrected), eV per atom: -1.3409